1.
## TaBeAs2 (PBE)

Data for a relaxed TaBeAs2 crystal.

Cell lengths 5.0117, 5.0117, 5.0117 Å; angles 141.71, 127.24, 67.04 degrees
Sites, in units of the cell vectors:
Be: 0.4787 0.4787 0.0000
As: 0.0125 0.0125 0.0000
As: 0.2857 0.7857 0.5000
Ta: 0.7230 0.2230 0.5000

Computed properties:
**Energy of formation**: 0.55 eV per formula unit

---

2.
## NdTmPa2As4 (PBE)

Data for a relaxed NdTmPa2As4 crystal.

Cell lengths 4.1259, 7.1445, 7.1497 Å; angles 70.54, 90.00, 90.00 degrees
Sites, in units of the cell vectors:
Nd: 0.5000 0.5000 0.0000
Tm: 0.0000 0.5000 0.5000
Pa: 0.0000 0.0000 0.0000
Pa: 0.5000 0.0000 0.5000
As: 0.0000 0.7581 0.7412
As: 0.0000 0.2419 0.2588
As: 0.5000 0.7534 0.2548
As: 0.5000 0.2466 0.7452

Computed properties:
**Energy of formation**: -10.07 eV per formula unit

---

3.
## La3TbSc2 (PBE)

Data for a relaxed La3TbSc2 crystal.

Cell lengths 5.3413, 8.7878, 8.7878 Å; angles 107.93, 90.00, 90.00 degrees
Sites, in units of the cell vectors:
La: 0.9930 0.9120 0.3580
La: 0.4930 0.6420 0.0880
La: 0.9930 0.3580 0.9120
La: 0.4930 0.0880 0.6420
La: 0.4930 0.9375 0.9375
La: 0.9930 0.0625 0.0625
Tb: 0.9930 0.7176 0.7176
Tb: 0.4930 0.2824 0.2824
Sc: 0.4930 0.6888 0.4736
Sc: 0.9930 0.5264 0.3112
Sc: 0.4930 0.4736 0.6888
Sc: 0.9930 0.3112 0.5264

Computed properties:
**Energy of formation**: 1.46 eV per formula unit

---

4.
## FeAsSe2 (PBE)

Data for a relaxed FeAsSe2 crystal.

Cell lengths 8.3106, 8.3106, 8.3106 Å; angles 22.41, 22.41, 22.41 degrees
Sites, in units of the cell vectors:
As: 0.2500 0.2500 0.2500
Fe: 0.7500 0.7500 0.7500
Se: 0.0201 0.0201 0.0201
Se: 0.4799 0.4799 0.4799

Computed properties:
**E_form (uncorrected)**: 0.10 eV per atom

---

Values for DOS(E_F), states/eV per cell, ordered as above
2.4 8.1 20.8 3.5
Values for total DFT energy (no corrections), eV/atom, ordered as above
-6.08 -7.11 -5.10 -4.92